Here is a relaxed LiMnBe2 crystal from the Alexandria database. Energies are from PBE.

Unit cell a=2.271 b=3.651 c=4.826 alpha=90.00 beta=90.00 gamma=90.00
Sites, in units of the cell vectors:
Li  0.000  0.000  0.000
Mn  0.500  0.500  0.281
Be  0.000  0.000  0.514
Be  0.500  0.500  0.753

Output
Its volume is 10.0 Å³/atom. Its space group is No. 25. Its formation energy from the elements is 0.26 eV per atom. The energy is -17.5 eV/cell.